# 1
Density functional theory data (meta-GGA SCAN) for a crystal of BeMoOs2 relaxed with PBEsol.

a = 2.7920 Å, b = 4.3464 Å, c = 4.9533 Å
α = 116.02°, β = 106.37°, γ = 90.00°
Positions (direct):
Os  0.7810  0.7810  0.5619
Os  0.2190  0.2190  0.4381
Be  0.5000  0.0000  0.0000
Mo  0.0000  0.5000  0.0000

Output
- volume (Å³/f.u.) = 51.29
- energy of formation (eV per formula unit) = -0.13

# 2
Density functional theory data (meta-GGA SCAN) for a crystal of Sr2Y relaxed with PBEsol.

a = 3.8774 Å, b = 6.2447 Å, c = 6.2447 Å
α = 90.00°, β = 90.00°, γ = 90.00°
Positions (direct):
Sr  0.5000  0.0000  0.5000
Sr  0.5000  0.5000  0.0000
Y  0.0000  0.0000  0.0000

Output
- volume (Å³/f.u.) = 151.20
- energy of formation (eV per formula unit) = 1.51
- excess energy over the best structure of this formula in the dataset (meV/atom) = 259.4

# 3
Density functional theory data (meta-GGA SCAN) for a crystal of In2Pb2Se relaxed with PBEsol.

a = 4.0610 Å, b = 4.0610 Å, c = 8.9787 Å
α = 103.07°, β = 103.07°, γ = 90.00°
Positions (direct):
In  0.2500  0.7500  0.5000
In  0.7500  0.2500  0.5000
Pb  0.4084  0.4084  0.8168
Pb  0.5916  0.5916  0.1832
Se  0.0000  0.0000  0.0000

Output
- volume (Å³/f.u.) = 140.30
- formation energy without anion corrections (kJ per mole of atoms) = 1.5

# 4
Density functional theory data (meta-GGA SCAN) for a crystal of Mn5Zn4Te3O18 relaxed with PBEsol.

a = 8.6262 Å, b = 8.6262 Å, c = 10.6249 Å
α = 88.96°, β = 88.96°, γ = 63.24°
Positions (direct):
O  0.2514  0.2375  0.1758
O  0.9240  0.9474  0.1628
O  0.3927  0.0814  0.3894
O  0.0958  0.4425  0.3984
O  0.8874  0.2481  0.0518
O  0.9042  0.5575  0.6016
O  0.7519  0.1126  0.4482
O  0.5232  0.6422  0.0126
O  0.2193  0.9631  0.0719
O  0.0760  0.0526  0.8372
O  0.5707  0.2323  0.7128
O  0.1126  0.7519  0.9482
O  0.5575  0.9042  0.1016
O  0.6073  0.9186  0.6106
O  0.9186  0.6073  0.1106
O  0.7982  0.3933  0.2993
O  0.2018  0.6067  0.7007
O  0.4293  0.7677  0.2872
O  0.7677  0.4293  0.7872
O  0.6067  0.2018  0.2007
O  0.2481  0.8874  0.5518
O  0.7625  0.7486  0.3242
O  0.9631  0.2193  0.5719
O  0.2375  0.2514  0.6758
O  0.0369  0.7807  0.4281
O  0.0814  0.3927  0.8894
O  0.2323  0.5707  0.2128
O  0.0526  0.0760  0.3372
O  0.3578  0.4768  0.4874
O  0.4425  0.0958  0.8984
O  0.9474  0.9240  0.6628
O  0.7486  0.7625  0.8242
O  0.3933  0.7982  0.7993
O  0.7807  0.0369  0.9281
O  0.6422  0.5232  0.5126
O  0.4768  0.3578  0.9874
Te  0.3407  0.3350  0.8100
Te  0.6650  0.6593  0.6900
Te  0.6593  0.6650  0.1900
Te  0.3350  0.3407  0.3100
Te  0.0000  0.0000  0.0000
Te  0.0000  0.0000  0.5000
Zn  0.6769  0.3997  0.9462
Zn  0.3997  0.6769  0.4462
Zn  0.6003  0.3231  0.5538
Zn  0.3524  0.0492  0.5735
Zn  0.0492  0.3524  0.0735
Zn  0.9508  0.6476  0.9265
Zn  0.3231  0.6003  0.0538
Zn  0.6476  0.9508  0.4265
Mn  0.1717  0.8283  0.7500
Mn  0.8708  0.4465  0.4490
Mn  0.0082  0.2890  0.7449
Mn  0.4465  0.8708  0.9490
Mn  0.5535  0.1292  0.0510
Mn  0.8283  0.1717  0.2500
Mn  0.2890  0.0082  0.2449
Mn  0.9918  0.7110  0.2551
Mn  0.7110  0.9918  0.7551
Mn  0.1292  0.5535  0.5510

Output
- volume (Å³/f.u.) = 352.89
- formation energy without anion corrections (kJ per mole of atoms) = -155.8

# 5
Density functional theory data (meta-GGA SCAN) for a crystal of SrTlSi2 relaxed with PBEsol.

a = 3.5348 Å, b = 3.5348 Å, c = 7.2104 Å
α = 90.00°, β = 90.00°, γ = 89.98°
Positions (direct):
Si  0.5000  0.5000  0.8232
Si  0.0000  0.0000  0.9460
Sr  0.0000  0.0000  0.5289
Tl  0.5000  0.5000  0.2019

Output
- volume (Å³/f.u.) = 90.09
- formation energy without anion corrections (kJ per mole of atoms) = 5.4
- excess energy over the best structure of this formula in the dataset (meV/atom) = 165.1

# 6
Density functional theory data (meta-GGA SCAN) for a crystal of Li3ZnS relaxed with PBEsol.

a = 4.5703 Å, b = 4.5703 Å, c = 4.5703 Å
α = 90.00°, β = 90.00°, γ = 90.00°
Positions (direct):
Li  0.0000  0.5000  0.0000
Li  0.0000  0.0000  0.5000
Li  0.5000  0.0000  0.0000
Zn  0.5000  0.5000  0.5000
S  0.0000  0.0000  0.0000

Output
- volume (Å³/f.u.) = 95.46
- formation energy without anion corrections (kJ per mole of atoms) = -59.1